1.
A relaxed LiTiTlHg crystal, computed with PBE.

```
LiTiTlHg
1.0
4.790 0.000 0.000
2.395 4.148 0.000
2.395 1.383 3.911
Li Hg Tl Ti
1 1 1 1
Cartesian
7.184 4.148 2.933
4.790 2.765 1.955
0.000 0.000 0.000
2.395 1.383 0.978
```

2.
A relaxed Li3TlHg12 crystal, computed with PBE.

```
Li3TlHg12
1.0
4.437 0.000 0.000
0.000 4.437 0.000
0.000 0.000 19.770
Hg Tl Li
12 1 3
Cartesian
2.218 2.218 5.179
0.000 2.218 7.530
2.218 2.218 9.885
2.218 2.218 0.000
0.000 2.218 16.955
2.218 0.000 2.815
0.000 2.218 2.815
0.000 2.218 12.240
2.218 2.218 14.591
2.218 0.000 16.955
2.218 0.000 12.240
2.218 0.000 7.530
0.000 0.000 0.000
0.000 0.000 9.885
0.000 0.000 5.179
0.000 0.000 14.591
```

Number 1: DFT formation energy -33.3 meV per atom. Number 2: DFT formation energy -111.7 meV per atom.